# AcTa2CoO8 PBE with a Hubbard U optimized geometry
data_AcTa2CoO8
_chemical_formula_sum 'Ac1 Ta2 Co1 O8'
_symmetry_space_group_name_H-M 'P 1'
_symmetry_Int_Tables_number 1
_symmetry_space_group_name_Hall 'P 1'
_cell_length_a 5.3430
_cell_length_b 5.3430
_cell_length_c 7.0972
_cell_angle_alpha 89.67
_cell_angle_beta 89.67
_cell_angle_gamma 66.66
loop_
_atom_site_label
_atom_site_fract_x
_atom_site_fract_y
_atom_site_fract_z
Ac1 0.0000 0.0000 0.5000
Ta1 0.3613 0.3613 0.8015
Ta2 0.6387 0.6387 0.1985
Co1 0.0000 0.0000 0.0000
O1 0.2494 0.7838 0.1954
O2 0.7900 0.7900 0.0244
O3 0.7838 0.2494 0.1954
O4 0.7506 0.2162 0.8046
O5 0.2100 0.2100 0.9756
O6 0.2162 0.7506 0.8046
O7 0.7177 0.7177 0.4369
O8 0.2823 0.2823 0.5631
# N(E_F), states/eV/f.u.: 0.00
# Energy, eV/f.u.: -102.39


# AcTaCoO5 PBE with a Hubbard U optimized geometry
data_AcTaCoO5
_chemical_formula_sum 'Ac2 Ta2 Co2 O10'
_symmetry_space_group_name_H-M 'P 1'
_symmetry_Int_Tables_number 1
_symmetry_space_group_name_Hall 'P 1'
_cell_length_a 5.8877
_cell_length_b 5.8877
_cell_length_c 7.5887
_cell_angle_alpha 102.54
_cell_angle_beta 102.54
_cell_angle_gamma 108.67
loop_
_atom_site_label
_atom_site_fract_x
_atom_site_fract_y
_atom_site_fract_z
Ac1 0.3317 0.6683 0.2500
Ac2 0.6683 0.3317 0.7500
Ta1 0.0000 0.0000 0.5000
Ta2 0.0000 0.0000 0.0000
Co1 0.6836 0.3164 0.2500
Co2 0.3164 0.6836 0.7500
O1 0.0620 0.9380 0.2500
O2 0.9380 0.0620 0.7500
O3 0.8980 0.2919 0.0872
O4 0.1020 0.7081 0.9128
O5 0.7081 0.1020 0.4128
O6 0.2919 0.8980 0.5872
O7 0.7464 0.6478 0.4222
O8 0.2536 0.3522 0.5778
O9 0.3522 0.2536 0.0778
O10 0.6478 0.7464 0.9222
# N(E_F), states/eV/f.u.: 0.00
# Energy, eV/f.u.: -67.17


# Ac2TbCoO6 PBE with a Hubbard U optimized geometry
data_Ac2TbCoO6
_chemical_formula_sum 'Ac4 Tb2 Co2 O12'
_symmetry_space_group_name_H-M 'P 1'
_symmetry_Int_Tables_number 1
_symmetry_space_group_name_Hall 'P 1'
_cell_length_a 5.7899
_cell_length_b 5.7920
_cell_length_c 8.1882
_cell_angle_alpha 90.00
_cell_angle_beta 90.00
_cell_angle_gamma 90.00
loop_
_atom_site_label
_atom_site_fract_x
_atom_site_fract_y
_atom_site_fract_z
Ac1 0.5000 0.7515 0.2499
Ac2 0.0000 0.2485 0.7499
Ac3 0.5000 0.7515 0.7501
Ac4 0.0000 0.2485 0.2501
Tb1 0.0000 0.7486 0.5000
Tb2 0.5000 0.2514 0.0000
Co1 0.5000 0.2490 0.5000
Co2 0.0000 0.7510 0.0000
O1 0.5000 0.2481 0.2667
O2 0.5000 0.2481 0.7333
O3 0.0000 0.7519 0.2333
O4 0.0000 0.7519 0.7667
O5 0.2666 0.0156 0.5000
O6 0.7334 0.0156 0.5000
O7 0.2666 0.4823 0.5000
O8 0.7334 0.4823 0.5000
O9 0.7666 0.5177 0.0000
O10 0.2334 0.5177 0.0000
O11 0.2334 0.9844 0.0000
O12 0.7666 0.9844 0.0000
# N(E_F), states/eV/f.u.: 0.00
# Energy, eV/f.u.: -74.86


# AcCo2TcO8 PBE with a Hubbard U optimized geometry
data_AcCo2TcO8
_chemical_formula_sum 'Ac1 Co2 Tc1 O8'
_symmetry_space_group_name_H-M 'P 1'
_symmetry_Int_Tables_number 1
_symmetry_space_group_name_Hall 'P 1'
_cell_length_a 5.9103
_cell_length_b 5.9103
_cell_length_c 5.9103
_cell_angle_alpha 108.17
_cell_angle_beta 108.17
_cell_angle_gamma 112.11
loop_
_atom_site_label
_atom_site_fract_x
_atom_site_fract_y
_atom_site_fract_z
Ac1 0.2500 0.7500 0.5000
Co1 0.7500 0.2500 0.5000
Co2 0.5000 0.5000 0.0000
Tc1 0.0000 0.0000 0.0000
O1 0.3388 0.0698 0.2690
O2 0.2957 0.4529 0.1572
O3 0.2957 0.1385 0.8428
O4 0.8009 0.0698 0.7310
O5 0.8615 0.7043 0.1572
O6 0.9302 0.1991 0.2690
O7 0.9302 0.6612 0.7310
O8 0.5471 0.7043 0.8428
# Energy, eV/f.u.: -80.05


> Number 4 is which compound?

AcCo2TcO8


> energy of number 4 (AcCo2TcO8)?

-80.05 eV/f.u.


> Among the records above, which one has the highest energy?

AcTaCoO5